First-principles (PBE) data for a geometry-optimized RbIn structure, as listed in Alexandria via LeMat-Bulk.

Lattice parameters (Å, degrees): 7.5398 7.5398 7.5398 90.00 90.00 90.00
Atoms (fractional coordinates):
Rb: 0.5000 0.5000 0.0000
In: 0.0000 0.5000 0.0000
Rb: 0.0000 0.5000 0.5000
Rb: 0.0000 0.0000 0.0000
In: 0.5000 0.5000 0.5000
In: 0.0000 0.0000 0.5000
In: 0.5000 0.0000 0.0000
Rb: 0.5000 0.0000 0.5000

Results
Its crystal system is cubic. The value obtained for the energy above the most stable polymorph in this dataset is 0.84 eV/f.u.